# MgTa2Ir

A geometry-optimized MgTa2Ir structure (GGA-PBEsol, Alexandria via LeMat-Bulk).

DFT formation energy = -0.1264 eV/atom
raw total energy = -9.2871 eV/atom
magnetic moment = 0.00 Bohr magnetons per cell

Unit cell a=2.9145 b=2.9145 c=8.0602 alpha=90.00 beta=90.00 gamma=90.00
Fractional positions:
Ir1 0.0000 0.0000 0.4919
Mg1 0.5000 0.5000 0.7171
Ta1 0.0000 0.0000 0.0098
Ta2 0.5000 0.5000 0.2812